# 1
The following is a GGA-PBE calculation of a relaxed ZrZnCuAs crystal, from OQMD via LeMat-Bulk.

Computed properties:
Calculated volume: 16.83 Å³/atom
E above lowest polymorph: 0.00 eV/f.u.
Space group: No. 216
Mass density: 7.3 g/cm3
Size of the total moment: 0.08 μB/f.u.

Structure (extended XYZ):
```
4
Lattice="0.000 3.229 3.229 3.229 0.000 3.229 3.229 3.229 0.000" Properties=species:S:1:pos:R:3 pbc="T T T"
Zr 1.614 1.614 1.614
As 0.000 0.000 0.000
Cu 4.843 4.843 4.843
Zn 3.229 3.229 3.229
```



# 2
The following is a GGA-PBE calculation of a relaxed ZrZnCuAs crystal, from OQMD via LeMat-Bulk.

Computed properties:
Calculated volume: 17.32 Å³/atom
E above lowest polymorph: 0.68 eV/f.u.
Space group: No. 216
Mass density: 7.1 g/cm3
Size of the total moment: 0.01 μB/f.u.

Structure (extended XYZ):
```
4
Lattice="0.000 3.260 3.260 3.260 0.000 3.260 3.260 3.260 0.000" Properties=species:S:1:pos:R:3 pbc="T T T"
Cu 4.890 4.890 4.890
Zn 1.630 1.630 1.630
As 0.000 0.000 0.000
Zr 3.260 3.260 3.260
```



# 3
The following is a GGA-PBE calculation of a relaxed Zr3Cu4As4 crystal, from OQMD via LeMat-Bulk.

Computed properties:
Calculated volume: 17.43 Å³/atom
Space group: No. 6
Mass density: 7.2 g/cm3
Raw total energy: -5.92 eV per atom
Size of the total moment: 0.00 μB/f.u.

Structure (extended XYZ):
```
11
Lattice="-5.008 3.648 -2.030 -1.916 -0.837 3.223 3.296 5.961 3.507" Properties=species:S:1:pos:R:3 pbc="T T T"
Cu -0.322 2.797 2.825
Cu -2.364 6.567 0.300
Cu -3.948 2.215 0.518
Cu 1.235 6.921 2.531
Zr -1.318 3.651 0.165
Zr -1.381 5.517 2.901
Zr -4.230 4.633 -1.311
As -0.873 8.023 1.564
As -3.575 4.695 1.383
As 0.949 4.584 1.754
As -1.874 1.168 1.479
```



# 4
The following is a GGA-PBE calculation of a relaxed Zr3CuAs crystal, from OQMD via LeMat-Bulk.

Computed properties:
Calculated volume: 20.63 Å³/atom
Space group: No. 63
Mass density: 6.6 g/cm3
Raw total energy: -7.22 eV per atom
Size of the total moment: 0.02 μB/f.u.

Structure (extended XYZ):
```
10
Lattice="1.885 -5.589 0.000 1.885 5.589 0.000 0.000 0.000 9.792" Properties=species:S:1:pos:R:3 pbc="T T T"
Cu 1.885 2.808 7.344
Cu 1.885 -2.808 2.448
Zr 1.885 1.704 4.132
Zr 1.885 -4.725 7.344
Zr 1.885 -1.704 9.028
Zr 1.885 1.704 0.765
Zr 1.885 4.725 2.448
Zr 1.885 -1.704 5.661
As 0.000 0.000 0.000
As 0.000 0.000 4.896
```



# 5
The following is a GGA-PBE calculation of a relaxed Zr3CuAs5 crystal, from OQMD via LeMat-Bulk.

Computed properties:
Calculated volume: 23.91 Å³/atom
Space group: No. 191
Mass density: 5.5 g/cm3
Raw total energy: -5.99 eV per atom
Size of the total moment: 0.00 μB/f.u.

Structure (extended XYZ):
```
9
Lattice="-4.428 4.394 1.001 2.838 -2.799 4.901 4.383 4.421 -0.014" Properties=species:S:1:pos:R:3 pbc="T T T"
As 1.246 0.436 3.599
As 2.192 2.210 -0.007
As 3.969 3.182 3.590
As -1.176 2.833 2.299
As 1.547 5.580 2.290
Zr 1.397 3.008 2.944
Zr 3.611 0.811 2.444
Zr -0.022 4.407 0.494
Cu 0.000 0.000 0.000
```



# 6
The following is a GGA-PBE calculation of a relaxed ZrCu2As crystal, from OQMD via LeMat-Bulk.

Computed properties:
Calculated volume: 15.70 Å³/atom
Space group: No. 216
Mass density: 7.8 g/cm3
Raw total energy: -5.29 eV per atom
Size of the total moment: 0.01 μB/f.u.

Structure (extended XYZ):
```
4
Lattice="0.000 3.155 3.155 3.155 0.000 3.155 3.155 3.155 0.000" Properties=species:S:1:pos:R:3 pbc="T T T"
Cu 0.000 0.000 0.000
Cu 4.732 4.732 4.732
Zr 1.577 1.577 1.577
As 3.155 3.155 3.155
```



# 7
The following is a GGA-PBE calculation of a relaxed DyAs crystal, from OQMD via LeMat-Bulk.

Computed properties:
Calculated volume: 25.29 Å³/atom
Space group: No. 187
Mass density: 7.8 g/cm3
Raw total energy: -5.86 eV per atom
Size of the total moment: 0.00 μB/f.u.

Structure (extended XYZ):
```
2
Lattice="3.991 0.000 0.000 -1.996 3.457 0.000 0.000 0.000 3.666" Properties=species:S:1:pos:R:3 pbc="T T T"
Dy 0.000 2.304 0.916
As 1.996 1.152 2.749
```



# 8
The following is a GGA-PBE calculation of a relaxed DyAs crystal, from OQMD via LeMat-Bulk.

Computed properties:
Calculated volume: 24.61 Å³/atom
Space group: No. 152
Mass density: 8.0 g/cm3
Raw total energy: -6.16 eV per atom
Size of the total moment: 0.00 μB/f.u.

Structure (extended XYZ):
```
6
Lattice="4.110 0.000 0.000 -2.055 3.559 0.000 0.000 0.000 10.093" Properties=species:S:1:pos:R:3 pbc="T T T"
Dy 1.375 2.381 5.047
Dy -0.680 1.179 1.682
Dy 1.361 0.000 8.411
As 1.377 0.000 3.364
As -0.688 1.192 6.729
As 1.367 2.367 0.000
```



# 9
The following is a GGA-PBE calculation of a relaxed DyAs crystal, from OQMD via LeMat-Bulk.

Computed properties:
Calculated volume: 24.07 Å³/atom
Space group: No. 51
Mass density: 8.2 g/cm3
Raw total energy: -5.54 eV per atom
Size of the total moment: 0.00 μB/f.u.

Structure (extended XYZ):
```
8
Lattice="6.211 0.000 0.000 0.000 5.608 0.000 0.000 0.000 5.528" Properties=species:S:1:pos:R:3 pbc="T T T"
As 1.553 0.000 1.872
As 4.658 2.804 0.137
As 4.658 0.000 3.655
As 1.553 2.804 5.391
Dy 1.553 0.000 4.611
Dy 3.106 2.804 2.764
Dy 0.000 2.804 2.764
Dy 4.658 0.000 0.917
```



# 10
The following is a GGA-PBE calculation of a relaxed DyAs crystal, from OQMD via LeMat-Bulk.

Computed properties:
Calculated volume: 33.72 Å³/atom
Space group: No. 216
Mass density: 5.8 g/cm3
Raw total energy: -5.63 eV per atom
Size of the total moment: 0.00 μB/f.u.

Structure (extended XYZ):
```
2
Lattice="0.000 3.231 3.231 3.231 0.000 3.231 3.231 3.231 0.000" Properties=species:S:1:pos:R:3 pbc="T T T"
Dy 1.615 1.615 1.615
As 0.000 0.000 0.000
```



# 11
The following is a GGA-PBE calculation of a relaxed DyAs crystal, from OQMD via LeMat-Bulk.

Computed properties:
Calculated volume: 22.76 Å³/atom
Space group: No. 221
Mass density: 8.7 g/cm3
Raw total energy: -5.67 eV per atom
Size of the total moment: 0.00 μB/f.u.

Structure (extended XYZ):
```
2
Lattice="3.571 0.000 0.000 0.000 3.571 0.000 0.000 0.000 3.571" Properties=species:S:1:pos:R:3 pbc="T T T"
As 1.785 1.785 1.785
Dy 0.000 0.000 0.000
```



# 12
The following is a GGA-PBE calculation of a relaxed DyErAs crystal, from OQMD via LeMat-Bulk.

Computed properties:
Calculated volume: 25.88 Å³/atom
E above lowest polymorph: 0.00 eV/f.u.
Space group: No. 216
Mass density: 8.7 g/cm3
Size of the total moment: 0.02 μB/f.u.

Structure (extended XYZ):
```
3
Lattice="-1.968 1.998 3.881 -4.361 -1.356 1.441 -0.507 -2.560 4.015" Properties=species:S:1:pos:R:3 pbc="T T T"
Dy -1.709 -0.479 2.334
Er -5.126 -1.438 7.003
As 0.000 0.000 0.000
```